No. 1
VASP calculation (PBE-GGA) on crystalline MgPdNO at its relaxed geometry.

The calculation puts the relative energy among the computed polymorphs at 41 meV/atom.

It has space group P4/nmm (No. 129, origin choice 2), with a = 3.9903 Å, b = 3.9903 Å, c = 6.1957 Å, α = 90.00°, β = 90.00° and γ = 90.00°. The inequivalent atoms are Mg at (0.2500, 0.2500, 0.0484), Pd at (0.2500, 0.7500, 0.5000), N at (0.2500, 0.2500, 0.3973) and O at (0.2500, 0.7500, 0.0000).



No. 2
VASP calculation (PBE-GGA) on crystalline DyInHgTe3 at its relaxed geometry.

The calculation puts the relative energy among the computed polymorphs at 52 meV/atom. Its total magnetization is 0.000 μB per atom.

It has space group Pnma (No. 62), with a = 13.0693 Å, b = 4.5332 Å, c = 13.2777 Å, α = 90.00°, β = 90.00° and γ = 90.00°. The inequivalent atoms are Dy at (0.0347, 0.2500, 0.1806), In at (0.1689, 0.2500, 0.4961), Hg at (0.2453, 0.7500, 0.3057), Te at (0.0289, 0.7500, 0.3465), Te at (0.0831, 0.2500, 0.9343) and Te at (0.2328, 0.7500, 0.6680).



No. 3
VASP calculation (PBE-GGA) on crystalline PuNbPd at its relaxed geometry.

The calculation puts the relative energy among the computed polymorphs at 468 meV/atom. Its total magnetization is 1.624 μB per atom.

It has space group F-43m (No. 216), with a = 6.0086 Å, b = 6.0086 Å, c = 6.0086 Å, α = 90.00°, β = 90.00° and γ = 90.00°. The inequivalent atoms are Pu at (0.0000, 0.0000, 0.0000), Nb at (0.2500, 0.2500, 0.7500) and Pd at (0.2500, 0.2500, 0.2500).